An optimized crystal structure of W2CF, computed with GGA+U.

Properties
D(E_F): 1.6 states/eV/f.u.
E: -44.66 eV per cell
total magnetic moment: 2.37 μB per formula unit
E above lowest polymorph: 0 meV/atom

```
W2CF
1.0
-3.0389 3.0389 2.9504
3.0389 -3.0389 2.9504
3.0389 3.0389 -2.9504
W C F
4 2 2
Direct
0.0776 0.6250 0.9526
0.3750 0.3276 0.4526
0.6724 0.1250 0.0474
0.8750 0.9224 0.5474
0.0000 0.0000 0.0000
0.7500 0.2500 0.5000
0.2500 0.7500 0.5000
0.5000 0.5000 0.0000
```